Record 1
VASP calculation (PBE-GGA) on a relaxed La10Al5Br4 crystal.

Unit cell a=8.251 b=8.251 c=33.263 alpha=90.00 beta=90.00 gamma=90.00
Space group I4/mcm (No. 140)
Asymmetric unit:
La1 0.000 0.000 0.154
La2 0.169 0.331 0.204
La3 0.172 0.328 0.072
Al1 0.000 0.000 0.250
Al2 0.119 0.381 0.365
Br1 0.000 0.000 0.057
Br2 0.144 0.356 0.500

Magnetic moment in μB per cell: 0.0
Energy relative to the elements, uncorrected in kJ/mol of atoms: -78

=====

Record 2
VASP calculation (PBE-GGA) on a relaxed LaAl3Br crystal.

Unit cell a=6.039 b=6.039 c=6.039 alpha=90.00 beta=90.00 gamma=90.00
Space group Pm-3m (No. 221)
Asymmetric unit:
La1 0.000 0.000 0.000
Al1 0.000 0.000 0.500
Br1 0.500 0.500 0.500

Magnetic moment in μB per cell: 0.0
Energy relative to the elements, uncorrected in kJ/mol of atoms: 100
Relative energy among the computed polymorphs in meV/atom: 684

=====

Record 3
VASP calculation (PBE-GGA) on a relaxed LaAlBr crystal.

Unit cell a=4.3891 b=4.3891 c=34.8955 alpha=90.00 beta=90.00 gamma=120.00
Space group R-3m (No. 166, hexagonal axes)
Asymmetric unit:
La1 0.0000 0.0000 0.0635
Al1 0.0000 0.0000 0.3390
Br1 0.0000 0.0000 0.2185

Magnetic moment in μB per cell: 0.0
Energy relative to the elements, uncorrected in kJ/mol of atoms: -114

=====

Record 4
VASP calculation (PBE-GGA) on a relaxed La2Al2Br crystal.

Unit cell a=4.3757 b=4.3757 c=25.0042 alpha=90.00 beta=90.00 gamma=120.00
Space group R-3m (No. 166, hexagonal axes)
Asymmetric unit:
La1 0.0000 0.0000 0.0846
Al1 0.0000 0.0000 0.3278
Br1 0.0000 0.0000 0.5000

Magnetic moment in μB per cell: 0.0
Energy relative to the elements, uncorrected in kJ/mol of atoms: -87

=====

Record 5
VASP calculation (PBE-GGA) on a relaxed LaAl2Br2 crystal.

Unit cell a=4.720 b=4.720 c=12.345 alpha=90.00 beta=90.00 gamma=90.00
Space group I4/mmm (No. 139)
Asymmetric unit:
La1 0.000 0.000 0.000
Al1 0.000 0.000 0.400
Br1 0.000 0.500 0.250

Magnetic moment in μB per cell: 0.0
Energy relative to the elements, uncorrected in kJ/mol of atoms: -18
Relative energy among the computed polymorphs in meV/atom: 56

=====

Record 6
VASP calculation (PBE-GGA) on a relaxed LaAl2Br8 crystal.

Unit cell a=14.129 b=9.670 c=6.951 alpha=90.00 beta=99.16 gamma=90.00
Space group C2/m (No. 12)
Asymmetric unit:
La1 0.000 0.000 0.000
Al1 0.194 0.000 0.653
Br1 0.107 0.189 0.758
Br2 0.147 0.500 0.218
Br3 0.181 0.000 0.303

Magnetic moment in μB per cell: 2.3
Energy relative to the elements, uncorrected in kJ/mol of atoms: -121

=====

Record 7
VASP calculation (PBE-GGA) on a relaxed LaAlBr3 crystal.

Unit cell a=5.370 b=5.370 c=5.370 alpha=90.00 beta=90.00 gamma=90.00
Space group Pm-3m (No. 221)
Asymmetric unit:
La1 0.000 0.000 0.000
Al1 0.500 0.500 0.500
Br1 0.000 0.500 0.500

Magnetic moment in μB per cell: 1.4
Energy relative to the elements, uncorrected in kJ/mol of atoms: -55

=====

Record 8
VASP calculation (PBE-GGA) on a relaxed La2Al2Br crystal.

Unit cell a=8.381 b=8.381 c=4.416 alpha=90.00 beta=90.00 gamma=90.00
Space group P4/mbm (No. 127)
Asymmetric unit:
La1 0.182 0.318 0.000
Al1 0.108 0.608 0.500
Br1 0.000 0.000 0.000

Magnetic moment in μB per cell: 0.0
Energy relative to the elements, uncorrected in kJ/mol of atoms: -52

=====

Record 9
VASP calculation (PBE-GGA) on a relaxed LaAlBr3 crystal.

Unit cell a=5.887 b=5.887 c=5.887 alpha=90.00 beta=90.00 gamma=90.00
Space group Pm-3m (No. 221)
Asymmetric unit:
La1 0.000 0.000 0.000
Al1 0.500 0.500 0.500
Br1 0.000 0.000 0.500

Magnetic moment in μB per cell: 1.1
Energy relative to the elements, uncorrected in kJ/mol of atoms: -91

=====

Record 10
VASP calculation (PBE-GGA) on a relaxed Li2LaAlBr crystal.

Unit cell a=6.404 b=6.404 c=5.901 alpha=90.00 beta=90.00 gamma=90.00
Space group P4/mmm (No. 123)
Asymmetric unit:
Li1 0.000 0.500 0.000
La1 0.000 0.000 0.000
Al1 0.000 0.000 0.500
Br1 0.500 0.500 0.500

Magnetic moment in μB per cell: 3.4
Energy relative to the elements, uncorrected in kJ/mol of atoms: 81

=====

Record 11
VASP calculation (PBE-GGA) on a relaxed La2MnAlBr crystal.

Unit cell a=5.412 b=5.412 c=4.606 alpha=90.00 beta=90.00 gamma=90.00
Space group P4/mmm (No. 123)
Asymmetric unit:
La1 0.000 0.500 0.000
Mn1 0.000 0.000 0.000
Al1 0.500 0.500 0.500
Br1 0.000 0.000 0.500

Magnetic moment in μB per cell: 0.8
Energy relative to the elements, uncorrected in kJ/mol of atoms: 10

=====

Record 12
VASP calculation (PBE-GGA) on a relaxed LaMnAl2Br crystal.

Unit cell a=5.019 b=5.019 c=5.498 alpha=90.00 beta=90.00 gamma=90.00
Space group P4/mmm (No. 123)
Asymmetric unit:
La1 0.000 0.000 0.000
Mn1 0.500 0.500 0.000
Al1 0.000 0.500 0.500
Br1 0.000 0.000 0.500

Magnetic moment in μB per cell: 0.0
Energy relative to the elements, uncorrected in kJ/mol of atoms: 103

=====

Record 13
VASP calculation (PBE-GGA) on a relaxed La6AlOs2Br3 crystal.

Unit cell a=20.024 b=4.198 c=9.414 alpha=90.00 beta=108.28 gamma=90.00
Space group C2/m (No. 12)
Asymmetric unit:
La1 0.024 0.000 0.257
La2 0.164 0.500 0.130
La3 0.182 0.500 0.562
Al1 0.000 0.500 0.000
Os1 0.166 0.000 0.339
Br1 0.000 0.500 0.500
Br2 0.166 0.000 0.838

Magnetic moment in μB per cell: 0.0
Energy relative to the elements, uncorrected in kJ/mol of atoms: -80

=====

Record 14
VASP calculation (PBE-GGA) on a relaxed La4AlPBr2 crystal.

Unit cell a=7.661 b=4.219 c=7.892 alpha=90.00 beta=107.86 gamma=90.00
Space group P2/m (No. 10)
Asymmetric unit:
La1 0.227 0.000 0.214
La2 0.242 0.500 0.772
Al1 0.500 0.000 0.000
P1 0.000 0.500 0.000
Br1 0.000 0.000 0.500
Br2 0.500 0.500 0.500

Magnetic moment in μB per cell: 0.0
Energy relative to the elements, uncorrected in kJ/mol of atoms: -113

=====

Record 15
VASP calculation (PBE-GGA) on a relaxed LaAlPBr2 crystal.

Unit cell a=4.836 b=4.836 c=6.656 alpha=90.00 beta=90.00 gamma=90.00
Space group P4/mmm (No. 123)
Asymmetric unit:
La1 0.000 0.000 0.000
Al1 0.000 0.000 0.500
P1 0.500 0.500 0.000
Br1 0.000 0.500 0.500

Magnetic moment in μB per cell: 1.0
Energy relative to the elements, uncorrected in kJ/mol of atoms: -17
Relative energy among the computed polymorphs in meV/atom: 483

=====

Record 16
VASP calculation (PBE-GGA) on a relaxed LaAlPBr2 crystal.

Unit cell a=5.078 b=5.078 c=4.867 alpha=90.00 beta=90.00 gamma=90.00
Space group P4/mmm (No. 123)
Asymmetric unit:
La1 0.000 0.000 0.000
Al1 0.500 0.500 0.500
P1 0.500 0.500 0.000
Br1 0.000 0.500 0.500

Magnetic moment in μB per cell: 0.0
Energy relative to the elements, uncorrected in kJ/mol of atoms: -64
Relative energy among the computed polymorphs in meV/atom: 0

=====

Record 17
VASP calculation (PBE-GGA) on a relaxed La4AlSiBr2 crystal.

Unit cell a=7.754 b=4.330 c=7.830 alpha=90.00 beta=108.59 gamma=90.00
Space group P2/m (No. 10)
Asymmetric unit:
La1 0.222 0.000 0.234
La2 0.232 0.500 0.755
Al1 0.000 0.000 0.500
Si1 0.000 0.500 0.000
Br1 0.500 0.000 0.000
Br2 0.500 0.500 0.500

Magnetic moment in μB per cell: 0.0
Energy relative to the elements, uncorrected in kJ/mol of atoms: -91

=====

Record 18
VASP calculation (PBE-GGA) on a relaxed LaAl2TcBr crystal.

Unit cell a=5.879 b=5.879 c=5.520 alpha=90.00 beta=90.00 gamma=90.00
Space group P4/mmm (No. 123)
Asymmetric unit:
La1 0.000 0.000 0.000
Al1 0.000 0.500 0.000
Tc1 0.500 0.500 0.500
Br1 0.000 0.000 0.500

Magnetic moment in μB per cell: 0.0
Energy relative to the elements, uncorrected in kJ/mol of atoms: 158

=====

Record 19
VASP calculation (PBE-GGA) on a relaxed LaAlTe2Br crystal.

Unit cell a=6.020 b=6.020 c=5.389 alpha=90.00 beta=90.00 gamma=90.00
Space group P4/mmm (No. 123)
Asymmetric unit:
La1 0.000 0.000 0.000
Al1 0.500 0.500 0.000
Te1 0.000 0.500 0.500
Br1 0.000 0.000 0.500

Magnetic moment in μB per cell: 0.0
Energy relative to the elements, uncorrected in kJ/mol of atoms: 18

=====

Record 20
VASP calculation (PBE-GGA) on a relaxed LaAl2ZnBr crystal.

Unit cell a=5.209 b=5.209 c=5.611 alpha=90.00 beta=90.00 gamma=90.00
Space group P4/mmm (No. 123)
Asymmetric unit:
La1 0.000 0.000 0.000
Al1 0.000 0.500 0.500
Zn1 0.500 0.500 0.000
Br1 0.000 0.000 0.500

Magnetic moment in μB per cell: 0.0
Energy relative to the elements, uncorrected in kJ/mol of atoms: 38

=====

The records above yield raw total energy values of -4.74, -2.53, -4.63, -4.70, -3.34, -3.60, -3.31, -4.35, -3.68, -2.00, -4.79, -3.59, -5.89, -5.20, -3.66, -4.15, -4.98, -3.25, -3.13, -2.67 eV/atom, respectively.